Here is a relaxed structure of TiCo2TcW from Alexandria. Energies are from PBE.

abc: 4.305 4.305 4.534
angles: 90.00 90.00 90.00
Atoms (fractional coordinates):
Ti (0.000, 0.000, 0.000)
Co (0.000, 0.500, 0.500)
Co (0.500, 0.000, 0.500)
Tc (0.000, 0.000, 0.500)
W (0.500, 0.500, 0.000)

Output
- Calculated volume: 84 Å³/cell
- Formation energy: 142.4 kJ/mol of atoms
- Size of the total moment: 1.16 μB per formula unit
- Uncorrected energy: -7.61 eV per atom

***

Here is a relaxed structure of Er8BSb2 from Alexandria. Energies are from PBE.

abc: 9.249 9.249 8.217
angles: 95.42 95.42 25.63
Atoms (fractional coordinates):
Er (0.006, 0.006, 0.200)
Er (0.207, 0.207, 0.358)
Er (0.358, 0.358, 0.973)
Er (0.407, 0.407, 0.466)
Er (0.593, 0.593, 0.534)
Er (0.642, 0.642, 0.027)
Er (0.793, 0.793, 0.642)
Er (0.994, 0.994, 0.800)
B (0.500, 0.500, 0.000)
Sb (0.181, 0.181, 0.766)
Sb (0.819, 0.819, 0.234)

Output
- Calculated volume: 303 Å³/cell
- Formation energy (no corrections): -0.38 eV per atom
- Size of the total moment: 0.68 μB per formula unit
- Uncorrected energy: -5.05 eV per atom

***

Here is a relaxed structure of Pm2RuO from Alexandria. Energies are from PBE.

abc: 3.280 3.280 6.861
angles: 90.00 90.00 90.00
Atoms (fractional coordinates):
Pm (0.000, 0.000, 0.234)
Pm (0.000, 0.000, 0.766)
Ru (0.500, 0.500, 0.500)
O (0.500, 0.500, 0.000)

Output
- Calculated volume: 74 Å³/cell
- Formation energy (no corrections): -1.09 eV per atom
- Size of the total moment: 0.00 μB per formula unit
- ΔE to the lowest computed polymorph: 0.0 meV per atom
- Uncorrected energy: -7.02 eV per atom

***

Here is a relaxed structure of Tl2AgAu from Alexandria. Energies are from PBE.

abc: 5.539 5.539 5.539
angles: 131.42 131.42 71.15
Atoms (fractional coordinates):
Tl (0.000, 0.000, 0.000)
Tl (0.750, 0.250, 0.500)
Ag (0.250, 0.750, 0.500)
Au (0.500, 0.500, 0.000)

Output
- Calculated volume: 94 Å³/cell
- Formation energy: 11.3 kJ/mol of atoms
- Size of the total moment: 0.00 μB per formula unit
- ΔE to the lowest computed polymorph: 87.9 meV per atom
- Uncorrected energy: -2.60 eV per atom

***

Here is a relaxed structure of CePuC2 from Alexandria. Energies are from PBE.

abc: 3.547 3.547 5.898
angles: 90.16 90.16 60.00
Atoms (fractional coordinates):
Ce (0.000, 0.000, 0.000)
Pu (0.000, 0.000, 0.500)
C (0.333, 0.333, 0.730)
C (0.667, 0.667, 0.270)

Output
- Calculated volume: 64 Å³/cell
- Formation energy: 15.0 kJ/mol of atoms
- Size of the total moment: 4.14 μB per formula unit
- ΔE to the lowest computed polymorph: 118.8 meV per atom
- Uncorrected energy: -9.52 eV per atom

***

Here is a relaxed structure of Tb2HfU2Ru5 from Alexandria. Energies are from PBE.

abc: 10.513 10.513 3.516
angles: 90.00 90.00 90.00
Atoms (fractional coordinates):
Tb (0.174, 0.326, 0.000)
Tb (0.326, 0.826, 0.000)
Tb (0.674, 0.174, 0.000)
Tb (0.826, 0.674, 0.000)
Hf (0.000, 0.000, 0.000)
Hf (0.500, 0.500, 0.000)
U (0.139, 0.639, 0.000)
U (0.361, 0.139, 0.000)
U (0.639, 0.861, 0.000)
U (0.861, 0.361, 0.000)
Ru (0.000, 0.500, 0.500)
Ru (0.051, 0.797, 0.500)
Ru (0.203, 0.051, 0.500)
Ru (0.297, 0.551, 0.500)
Ru (0.449, 0.297, 0.500)
Ru (0.500, 0.000, 0.500)
Ru (0.551, 0.703, 0.500)
Ru (0.703, 0.449, 0.500)
Ru (0.797, 0.949, 0.500)
Ru (0.949, 0.203, 0.500)

Output
- Calculated volume: 389 Å³/cell
- Formation energy: -28.2 kJ/mol of atoms
- Size of the total moment: 0.00 μB per formula unit
- Uncorrected energy: -9.11 eV per atom

***

Here is a relaxed structure of Y2ZrMo from Alexandria. Energies are from PBE.

abc: 5.129 5.129 5.129
angles: 60.00 60.00 60.00
Atoms (fractional coordinates):
Y (0.250, 0.250, 0.250)
Y (0.750, 0.750, 0.750)
Zr (0.000, 0.000, 0.000)
Mo (0.500, 0.500, 0.500)

Output
- Calculated volume: 95 Å³/cell
- Formation energy: 45.2 kJ/mol of atoms
- Size of the total moment: 0.00 μB per formula unit
- ΔE to the lowest computed polymorph: 346.0 meV per atom
- Uncorrected energy: -7.61 eV per atom

***

Here is a relaxed structure of Li2BeGaIr from Alexandria. Energies are from PBE.

abc: 4.654 4.654 4.744
angles: 90.00 90.00 90.00
Atoms (fractional coordinates):
Li (0.000, 0.500, 0.000)
Li (0.500, 0.000, 0.000)
Be (0.000, 0.000, 0.500)
Ga (0.500, 0.500, 0.500)
Ir (0.500, 0.500, 0.000)

Output
- Calculated volume: 103 Å³/cell
- Formation energy: 58.9 kJ/mol of atoms
- Size of the total moment: 0.00 μB per formula unit
- Uncorrected energy: -3.28 eV per atom

***

Here is a relaxed structure of TbSm2Th from Alexandria. Energies are from PBE.

abc: 5.722 5.722 5.722
angles: 60.00 60.00 60.00
Atoms (fractional coordinates):
Tb (0.000, 0.000, 0.000)
Sm (0.250, 0.250, 0.250)
Sm (0.750, 0.750, 0.750)
Th (0.500, 0.500, 0.500)

Output
- Calculated volume: 132 Å³/cell
- Formation energy: 18.8 kJ/mol of atoms
- Size of the total moment: 0.00 μB per formula unit
- ΔE to the lowest computed polymorph: 175.4 meV per atom
- Uncorrected energy: -5.18 eV per atom